(1)
Entry from Alexandria via LeMat-Bulk: a geometry-optimized Na3Cr5O12 structure (PBE+U).

a b c (Å): 12.3767 12.3767 12.3767
angles (deg): 90.00 90.00 90.00
Space group Ia-3d (No. 230)
One atom of each set of equivalent atoms:
Na 0.0000 0.2500 0.1250 (multiplicity 24)
Cr 0.0000 0.0000 0.0000 (multiplicity 16)
Cr 0.0000 0.2500 0.3750 (multiplicity 24)
O 0.0386 0.0488 0.6509 (multiplicity 96)

---

(2)
Entry from Alexandria via LeMat-Bulk: a geometry-optimized Na2CrO4 structure (PBE+U).

Density of states at the Fermi level ... 0.0 states/eV/cell

a b c (Å): 6.2553 10.1542 7.0872
angles (deg): 90.00 116.13 90.00
Space group C2/c (No. 15)
One atom of each set of equivalent atoms:
Na 0.0000 0.0602 0.2500 (multiplicity 4)
Na 0.0000 0.3107 0.7500 (multiplicity 4)
Cr 0.0000 0.3748 0.2500 (multiplicity 4)
O 0.0810 0.2767 0.1039 (multiplicity 8)
O 0.2268 0.4728 0.3964 (multiplicity 8)

---

Going through the records in order, we get final energy values of -6.68; -5.89 eV/atom.